# 1
Pr6InTe3As2 after structural relaxation, computed with GGA-PBE.

Results
Crystal system: monoclinic
Magnetic moment: 0.00 μB per cell
Uncorrected formation energy: -1321.3 meV/atom

a b c (Å): 4.3987 9.0734 10.0291
angles (deg): 103.82 102.67 90.00
Positions (direct):
Pr 0.3331 0.8976 0.6662
Pr 0.6732 0.5676 0.3463
Pr 0.6669 0.1024 0.3338
Pr 0.0069 0.2527 0.0138
Pr 0.9931 0.7473 0.9862
Pr 0.3268 0.4324 0.6537
In 0.5000 0.0000 0.0000
Te 0.5000 0.5000 0.0000
Te 0.8347 0.1689 0.6694
Te 0.1653 0.8311 0.3306
As 0.8317 0.6645 0.6634
As 0.1683 0.3355 0.3366

=====

# 2
InAsPt5 after structural relaxation, computed with GGA-PBE.

Results
Crystal system: tetragonal
Magnetic moment: 0.00 μB per cell
Energy of formation from the pure elements: -2.502 eV per formula unit

a b c (Å): 4.0607 4.0607 7.1487
angles (deg): 90.00 90.00 90.00
Positions (direct):
In 0.5000 0.5000 0.0000
As 0.0000 0.0000 0.5000
Pt 0.0000 0.5000 0.2861
Pt 0.0000 0.5000 0.7139
Pt 0.5000 0.0000 0.2861
Pt 0.5000 0.0000 0.7139
Pt 0.0000 0.0000 0.0000

=====

# 3
InAs2Pt after structural relaxation, computed with GGA-PBE.

Results
Crystal system: tetragonal
Magnetic moment: 0.00 μB per cell
Energy of formation from the pure elements: -0.451 eV per formula unit

a b c (Å): 5.7947 5.7947 7.4438
angles (deg): 67.09 67.09 90.00
Positions (direct):
As 0.6713 0.1250 0.2500
As 0.0787 0.6250 0.2500
As 0.3750 0.3287 0.7500
As 0.8750 0.9213 0.7500
Pt 0.0000 0.0000 0.0000
Pt 0.7500 0.2500 0.5000
In 0.5000 0.5000 0.0000
In 0.2500 0.7500 0.5000

=====

# 4
InAs2Pt after structural relaxation, computed with GGA-PBE.

Results
Crystal system: tetragonal
Magnetic moment: 0.00 μB per cell
Energy of formation from the pure elements: 0.590 eV per formula unit

a b c (Å): 4.7860 4.0219 4.0219
angles (deg): 90.00 90.00 90.00
Positions (direct):
As 0.0000 0.0000 0.0000
As 0.0000 0.5000 0.5000
Pt 0.5000 0.0000 0.5000
In 0.5000 0.5000 0.0000

=====

# 5
InAs2Pt after structural relaxation, computed with GGA-PBE.

Results
Crystal system: monoclinic
Magnetic moment: 0.00 μB per cell
Energy of formation from the pure elements: -1.109 eV per formula unit

a b c (Å): 3.8476 4.6050 5.1472
angles (deg): 71.25 90.00 90.00
Positions (direct):
As 0.0000 0.9931 0.9218
As 0.0000 0.5069 0.5782
Pt 0.5000 0.7500 0.7500
In 0.5000 0.2500 0.2500

=====

# 6
InAs2Pt after structural relaxation, computed with GGA-PBE.

Results
Crystal system: orthorhombic
Magnetic moment: 0.00 μB per cell
Energy of formation from the pure elements: -0.174 eV per formula unit

a b c (Å): 6.1547 6.1547 6.1547
angles (deg): 146.34 138.22 54.69
Positions (direct):
As 0.9250 0.9250 0.0000
As 0.5750 0.5750 0.0000
Pt 0.7500 0.2500 0.5000
In 0.2500 0.7500 0.5000

=====

# 7
InAs2Pt2 after structural relaxation, computed with GGA-PBE.

Results
Crystal system: tetragonal
Magnetic moment: 0.00 μB per cell
Offset from the most stable computed form: 51 meV per atom
Energy of formation from the pure elements: -0.461 eV per formula unit

a b c (Å): 4.0962 4.0962 6.5828
angles (deg): 71.87 71.87 90.00
Positions (direct):
As 0.7500 0.2500 0.5000
As 0.2500 0.7500 0.5000
Pt 0.3868 0.3868 0.2264
Pt 0.6132 0.6132 0.7736
In 0.0000 0.0000 0.0000

=====

# 8
InAs2Pt after structural relaxation, computed with GGA-PBE.

Results
Crystal system: orthorhombic
Magnetic moment: 0.00 μB per cell
Energy of formation from the pure elements: 0.202 eV per formula unit

a b c (Å): 3.3248 3.1202 7.5507
angles (deg): 90.00 90.00 90.00
Positions (direct):
As 0.0000 0.0000 0.9579
As 0.5000 0.5000 0.2493
Pt 0.5000 0.5000 0.7744
In 0.0000 0.0000 0.5184

=====

Look up the magnetic moment of the sixth one.
0.00 μB per cell

=====

Copy entry 5 word for word.
InAs2Pt after structural relaxation, computed with GGA-PBE.

Results
Crystal system: monoclinic
Magnetic moment: 0.00 μB per cell
Energy of formation from the pure elements: -1.109 eV per formula unit

a b c (Å): 3.8476 4.6050 5.1472
angles (deg): 71.25 90.00 90.00
Positions (direct):
As 0.0000 0.9931 0.9218
As 0.0000 0.5069 0.5782
Pt 0.5000 0.7500 0.7500
In 0.5000 0.2500 0.2500